# 1
The following is a PBE calculation of an optimized crystal structure of Sr2Al7Ge, from the Alexandria database.

Results
VASP energy ... -36.45 eV/cell
Relative energy among the computed polymorphs ... 0.0276 eV/atom
E_form ... -0.2269 eV/atom
D(E_F) ... 2.7 states/eV/f.u.

extended XYZ file:
```
10
Lattice="-3.839 2.282 -0.651 -1.894 -3.693 -1.775 -3.501 -3.026 10.033" Properties=species:S:1:pos:R:3 pbc="T T T"
Al -1.750 -1.513 5.016
Ge -2.867 -0.705 -1.213
Al -2.373 0.749 0.975
Sr -4.546 -1.129 7.202
Al -3.205 0.030 3.357
Sr -1.821 -2.602 1.618
Al -3.163 -3.762 5.463
Al 0.000 0.000 0.000
Al -3.994 -4.480 7.845
Al -4.617 -2.218 3.803
```

---

# 2
The following is a PBE calculation of an optimized crystal structure of Sr3AlGe, from the Alexandria database.

Results
VASP energy ... -13.33 eV/cell
Relative energy among the computed polymorphs ... 0.0000 eV/atom
E_form ... 0.0141 eV/atom
D(E_F) ... 5.2 states/eV/f.u.

extended XYZ file:
```
5
Lattice="-4.314 -3.612 2.170 -0.261 -2.870 -5.297 4.206 -3.883 1.897" Properties=species:S:1:pos:R:3 pbc="T T T"
Sr -0.130 -1.435 -2.648
Sr 2.103 -1.941 0.949
Al -0.184 -5.183 -0.615
Sr -2.157 -1.806 1.085
Ge 0.000 0.000 0.000
```

---

# 3
The following is a PBE calculation of an optimized crystal structure of Sr3Al3Ge2, from the Alexandria database.

Results
VASP energy ... -57.58 eV/cell
E_form ... -0.4104 eV/atom
D(E_F) ... 2.5 states/eV/f.u.

extended XYZ file:
```
16
Lattice="4.265 0.000 0.000 -2.133 6.168 0.000 0.000 0.000 16.745" Properties=species:S:1:pos:R:3 pbc="T T T"
Al 0.000 5.332 9.311
Al 0.000 3.259 4.186
Al 0.000 5.332 15.807
Sr 2.133 4.226 1.559
Ge 0.000 1.729 6.376
Al 2.133 0.835 0.938
Sr 0.000 1.941 15.187
Ge 2.133 4.439 10.369
Sr 2.133 0.513 4.186
Sr 0.000 1.941 9.931
Sr 2.133 4.226 6.814
Ge 2.133 4.439 14.749
Sr 0.000 5.655 12.559
Ge 0.000 1.729 1.996
Al 2.133 0.835 7.435
Al 2.133 2.909 12.559
```

---

# 4
The following is a PBE calculation of an optimized crystal structure of Sr2Al3Ge, from the Alexandria database.

Results
VASP energy ... -21.38 eV/cell
E_form ... -0.3615 eV/atom
D(E_F) ... 2.3 states/eV/f.u.

extended XYZ file:
```
6
Lattice="4.786 0.000 0.000 0.000 4.436 0.000 0.000 0.000 7.639" Properties=species:S:1:pos:R:3 pbc="T T T"
Al 2.393 0.000 1.274
Sr 0.000 2.218 0.030
Sr 0.000 0.000 3.795
Al 2.393 0.000 6.347
Al 2.393 2.218 5.090
Ge 2.393 2.218 2.561
```

---

# 5
The following is a PBE calculation of an optimized crystal structure of Sr2Al3Ge, from the Alexandria database.

Results
VASP energy ... -21.25 eV/cell
E_form ... -0.3397 eV/atom
D(E_F) ... 3.0 states/eV/f.u.

extended XYZ file:
```
6
Lattice="4.424 0.000 0.000 -2.212 3.831 0.000 0.000 0.000 9.602" Properties=species:S:1:pos:R:3 pbc="T T T"
Sr 0.000 2.554 7.171
Al 2.212 1.277 4.801
Ge 2.212 1.277 0.000
Al 0.000 0.000 0.000
Sr 0.000 2.554 2.432
Al 0.000 0.000 4.801
```

---

# 6
The following is a PBE calculation of an optimized crystal structure of Sr2Al2Ge, from the Alexandria database.

Results
VASP energy ... -32.72 eV/cell
E_form ... -0.1792 eV/atom
D(E_F) ... 2.7 states/eV/f.u.

extended XYZ file:
```
10
Lattice="-1.575 -2.027 -6.851 4.847 -5.457 0.500 -3.688 -3.114 1.769" Properties=species:S:1:pos:R:3 pbc="T T T"
Al 1.594 -2.286 -0.699
Al 3.637 -5.504 -2.105
Al -0.365 -1.980 -4.245
Ge 0.000 0.000 0.000
Ge 1.636 -3.742 -3.175
Sr -1.576 -4.986 -4.590
Sr -1.493 -3.178 -1.238
Sr 1.159 -5.612 0.009
Al 1.677 -5.198 -5.652
Sr 1.077 -7.419 -3.344
```

---

# 7
The following is a PBE calculation of an optimized crystal structure of Sr3AlGe4, from the Alexandria database.

Results
VASP energy ... -30.35 eV/cell
E_form ... -0.3867 eV/atom
D(E_F) ... 4.2 states/eV/f.u.

extended XYZ file:
```
8
Lattice="4.839 0.000 0.000 0.000 6.000 0.000 -2.420 -3.000 8.133" Properties=species:S:1:pos:R:3 pbc="T T T"
Sr 0.000 0.000 3.116
Sr 2.420 3.000 5.017
Ge 0.000 1.216 6.216
Ge 2.420 4.216 1.916
Al 2.420 0.000 0.000
Ge 2.420 1.784 1.916
Sr 0.000 3.000 0.000
Ge 0.000 -1.216 6.216
```

---

# 8
The following is a PBE calculation of an optimized crystal structure of Sr3AlGe2, from the Alexandria database.

Results
VASP energy ... -84.01 eV/cell
E_form ... -0.4968 eV/atom
D(E_F) ... 3.6 states/eV/f.u.

extended XYZ file:
```
24
Lattice="-2.365 -1.783 -3.320 -0.954 -11.294 6.747 -10.624 4.103 5.365" Properties=species:S:1:pos:R:3 pbc="T T T"
Sr -8.926 -5.057 4.604
Sr -9.958 2.521 4.250
Ge -2.342 -3.228 -1.069
Sr -7.154 -9.582 5.772
Sr -5.273 -2.290 0.515
Sr -3.258 -7.552 4.887
Sr -5.017 -3.917 4.188
Al -6.212 -7.105 3.770
Sr -8.670 -6.684 8.277
Al -2.213 -1.469 0.875
Ge -10.122 -9.557 7.873
Ge -4.369 -6.386 2.071
Al -11.731 -7.505 7.917
Sr -3.985 -11.496 4.542
Sr -10.685 -1.423 3.905
Ge -7.786 -2.737 2.545
Ge -6.157 -6.238 6.246
Sr -12.208 -4.480 6.632
Ge -11.601 -5.747 9.861
Sr -6.789 0.607 3.020
Al -7.732 -1.870 5.022
Ge -9.574 -2.589 6.721
Sr -1.736 -4.495 2.160
Ge -3.821 0.582 0.919
```